Record 1
VASP calculation (PBE) on a relaxed structure of CsSrU2O7.

a = 4.306 Å, b = 4.306 Å, c = 11.330 Å
α = 90.00°, β = 90.00°, γ = 90.00°
Space group P4/mmm (No. 123)
Symmetry-distinct sites (fractional):
1 Cs 0.000 0.000 0.000 [1 per cell]
2 Sr 0.000 0.000 0.500 [1 per cell]
3 U 0.500 0.500 0.310 [2 per cell]
4 O 0.000 0.500 0.340 [4 per cell]
5 O 0.500 0.500 0.141 [2 per cell]
6 O 0.500 0.500 0.500 [1 per cell]

E_tot = -8.454 eV/atom
D(E_F) = 7.09 states/eV per cell

=====

Record 2
VASP calculation (PBE) on a relaxed structure of Cs3SrU2O9.

a = 6.3993 Å, b = 6.3993 Å, c = 7.8490 Å
α = 90.00°, β = 90.00°, γ = 120.00°
Space group P-3m1 (No. 164)
Symmetry-distinct sites (fractional):
1 Cs 0.0000 0.0000 0.0000 [1 per cell]
2 Cs 0.3333 0.6667 0.6584 [2 per cell]
3 Sr 0.0000 0.0000 0.5000 [1 per cell]
4 U 0.3333 0.6667 0.1558 [2 per cell]
5 O 0.0000 0.5000 0.0000 [3 per cell]
6 O 0.1852 0.3705 0.3045 [6 per cell]

E_tot = -7.363 eV/atom
D(E_F) = 15.45 states/eV per cell

=====

Record 3
VASP calculation (PBE) on a relaxed structure of Cs2Sr2UO6.

a = 6.417 Å, b = 10.870 Å, c = 7.296 Å
α = 90.00°, β = 106.99°, γ = 90.00°
Space group C2/m (No. 12)
Symmetry-distinct sites (fractional):
1 Cs 0.000 0.170 0.000 [4 per cell]
2 Sr 0.000 0.336 0.500 [4 per cell]
3 U 0.000 0.000 0.500 [2 per cell]
4 O 0.191 0.144 0.659 [8 per cell]
5 O 0.222 0.000 0.335 [4 per cell]

E_tot = -6.863 eV/atom
D(E_F) = 0.00 states/eV per cell